Entry from Alexandria: crystalline CsTi4O7 at its relaxed geometry (PBE).

Cell lengths 13.992, 5.461, 5.592 Å; angles 90.00, 90.00, 90.00 degrees
Space group Pmn2_1 (No. 31)
One atom of each set of equivalent atoms:
1 Cs 0.000 0.233 0.000 [2 per cell]
2 Ti 0.125 0.696 0.521 [4 per cell]
3 Ti 0.246 0.850 0.087 [4 per cell]
4 O 0.000 0.774 0.600 [2 per cell]
5 O 0.130 0.710 0.190 [4 per cell]
6 O 0.156 0.371 0.592 [4 per cell]
7 O 0.200 0.871 0.757 [4 per cell]

As for the volume: 427 Å³ per cell. The density of states at the Fermi level comes out at 0.311 states/eV per atom. The uncorrected formation energy is -2709 meV per atom. As for the magnetization: 2.121 Bohr magnetons per cell.

***

Entry from Alexandria: crystalline Rb2CrPt at its relaxed geometry (PBE).

Cell lengths 8.110, 8.110, 8.110 Å; angles 90.00, 90.00, 90.00 degrees
Space group Fm-3m (No. 225)
One atom of each set of equivalent atoms:
1 Rb 0.250 0.250 0.250 [8 per cell]
2 Cr 0.000 0.000 0.000 [4 per cell]
3 Pt 0.000 0.000 0.500 [4 per cell]

As for the volume: 533 Å³ per cell. The density of states at the Fermi level comes out at 0.136 states/eV per atom. As for the energy above the most stable polymorph in this dataset: 0.403 eV/atom. As for the magnetization: 23.744 Bohr magnetons per cell. As for the energy relative to the elements: 0.86 eV per atom.

***

Entry from Alexandria: crystalline ThH8Os2 at its relaxed geometry (PBE).

Cell lengths 4.478, 7.183, 6.170 Å; angles 90.00, 90.00, 90.00 degrees
Space group Amm2 (No. 38)
One atom of each set of equivalent atoms:
1 Th 0.000 0.000 0.000 [2 per cell]
2 H 0.241 0.000 0.635 [4 per cell]
3 H 0.263 0.145 0.298 [8 per cell]
4 H 0.500 0.144 0.989 [4 per cell]
5 Os 0.500 0.192 0.716 [4 per cell]

As for the volume: 198 Å³ per cell. The density of states at the Fermi level comes out at 0.081 states/eV per atom. As for the magnetization: 0.000 Bohr magnetons per cell.

***

Entry from Alexandria: crystalline Sc2AlSb at its relaxed geometry (PBE).

Cell lengths 3.891, 3.891, 5.880 Å; angles 90.00, 90.00, 90.00 degrees
Space group P4mm (No. 99)
One atom of each set of equivalent atoms:
1 Sc 0.000 0.000 0.000 [1 per cell]
2 Sc 0.500 0.500 0.277 [1 per cell]
3 Al 0.000 0.000 0.491 [1 per cell]
4 Sb 0.500 0.500 0.779 [1 per cell]

As for the volume: 89 Å³ per cell. The density of states at the Fermi level comes out at 0.823 states/eV per atom. The uncorrected formation energy is -419 meV per atom. As for the energy above the most stable polymorph in this dataset: 0.197 eV/atom. As for the magnetization: 0.000 Bohr magnetons per cell.

***

Entry from Alexandria: crystalline Rb2TlB2O6 at its relaxed geometry (PBE).

Cell lengths 9.538, 5.499, 7.228 Å; angles 90.00, 115.75, 90.00 degrees
Space group C2/m (No. 12)
One atom of each set of equivalent atoms:
1 Rb 0.206 0.000 0.118 [4 per cell]
2 Tl 0.000 0.000 0.500 [2 per cell]
3 B 0.097 0.500 0.294 [4 per cell]
4 O 0.020 0.282 0.281 [8 per cell]
5 O 0.239 0.500 0.285 [4 per cell]

As for the volume: 341 Å³ per cell. The density of states at the Fermi level comes out at 0.473 states/eV per atom. The uncorrected formation energy is -1692 meV per atom. As for the magnetization: 2.034 Bohr magnetons per cell.

***

Entry from Alexandria: crystalline VCdAu2N at its relaxed geometry (PBE).

Cell lengths 5.237, 5.237, 3.993 Å; angles 90.00, 90.00, 90.00 degrees
Space group P4/mmm (No. 123)
One atom of each set of equivalent atoms:
1 V 0.000 0.000 0.000 [1 per cell]
2 Cd 0.500 0.500 0.500 [1 per cell]
3 Au 0.000 0.500 0.500 [2 per cell]
4 N 0.500 0.500 0.000 [1 per cell]

As for the volume: 109 Å³ per cell. The density of states at the Fermi level comes out at 1.454 states/eV per atom. The uncorrected formation energy is 1630 meV per atom. As for the magnetization: 1.046 Bohr magnetons per cell.

***

In order of appearance, density = 3.4, 5.2, 10.4, 4.5, 4.8, 8.7 g/cm³.
In order of appearance, total DFT energy (no corrections) = -8.304, -3.542, -5.247, -5.551, -6.002, -3.353 eV/atom.